Material: Ac2Cu2AgPd5
Method: DFT, PBE
State: relaxed

ρ = 10.5 g/cm³
formation enthalpy at 0 K = -0.532 eV/atom

Cell lengths 9.743, 9.743, 4.051 Å; angles 90.00, 90.00, 90.00 degrees
Space group P4/mbm (No. 127)
Inequivalent atoms, fractional coordinates:
Ac  0.182  0.318  0.000 x4
Cu  0.115  0.615  0.000 x4
Ag  0.000  0.000  0.000 x2
Pd  0.000  0.500  0.500 x2
Pd  0.063  0.791  0.500 x8

Material: AcPmCuAg
Method: DFT, PBE
State: relaxed

ρ = 8.3 g/cm³
formation enthalpy at 0 K = -0.150 eV/atom

Cell lengths 7.565, 7.565, 7.565 Å; angles 90.00, 90.00, 90.00 degrees
Space group F-43m (No. 216)
Inequivalent atoms, fractional coordinates:
Ac  0.000  0.000  0.000 x4
Pm  0.000  0.000  0.500 x4
Cu  0.250  0.250  0.250 x4
Ag  0.250  0.250  0.750 x4

Material: AcPmCuAg
Method: DFT, PBE
State: relaxed

ρ = 8.5 g/cm³
formation enthalpy at 0 K = -0.188 eV/atom

Cell lengths 3.767, 3.767, 7.516 Å; angles 90.00, 90.00, 90.00 degrees
Space group P4mm (No. 99)
Inequivalent atoms, fractional coordinates:
Ac  0.000  0.000  0.000 x1
Pm  0.000  0.000  0.525 x1
Cu  0.500  0.500  0.731 x1
Ag  0.500  0.500  0.290 x1